# 1
# GGA-PBEsol B2SeS, optimized geometry
# - ΔE to the lowest computed polymorph: 0.0 meV/atom
# - Raw formation energy: 519 meV per atom
# - Volume: 12.2 A^3/atom
data_B2SeS
_chemical_formula_sum 'B8 Se4 S4'
_symmetry_space_group_name_H-M 'I -4 2 d'
_symmetry_Int_Tables_number 122
_symmetry_space_group_name_Hall 'I -4 2bw'
_cell_length_a 5.184
_cell_length_b 5.184
_cell_length_c 7.260
_cell_angle_alpha 90.00
_cell_angle_beta 90.00
_cell_angle_gamma 90.00
loop_
_atom_site_label
_atom_site_type_symbol
_atom_site_fract_x
_atom_site_fract_y
_atom_site_fract_z
_atom_site_occupancy
B1 B 0.219 0.250 0.125 1
Se1 Se 0.000 0.000 0.500 1
S1 S 0.000 0.000 0.000 1

# 2
# GGA-PBEsol Si2BS2, optimized geometry
# - Raw formation energy: 549 meV per atom
# - Volume: 15.3 A^3/atom
data_Si2BS2
_chemical_formula_sum 'Si4 B2 S4'
_symmetry_space_group_name_H-M 'P 4/m b m'
_symmetry_Int_Tables_number 127
_symmetry_space_group_name_Hall '-P 4 2ab'
_cell_length_a 6.190
_cell_length_b 6.190
_cell_length_c 3.994
_cell_angle_alpha 90.00
_cell_angle_beta 90.00
_cell_angle_gamma 90.00
loop_
_atom_site_label
_atom_site_type_symbol
_atom_site_fract_x
_atom_site_fract_y
_atom_site_fract_z
_atom_site_occupancy
Si1 Si 0.230 0.270 0.000 1
B1 B 0.000 0.000 0.000 1
S1 S 0.163 0.663 0.500 1

# 3
# GGA-PBEsol SiB3S, optimized geometry
# - Raw formation energy: 1572 meV per atom
# - Volume: 12.9 A^3/atom
data_SiB3S
_chemical_formula_sum 'Si1 B3 S1'
_symmetry_space_group_name_H-M 'P m -3 m'
_symmetry_Int_Tables_number 221
_symmetry_space_group_name_Hall '-P 4 2 3'
_cell_length_a 4.006
_cell_length_b 4.006
_cell_length_c 4.006
_cell_angle_alpha 90.00
_cell_angle_beta 90.00
_cell_angle_gamma 90.00
loop_
_atom_site_label
_atom_site_type_symbol
_atom_site_fract_x
_atom_site_fract_y
_atom_site_fract_z
_atom_site_occupancy
Si1 Si 0.000 0.000 0.000 1
B1 B 0.000 0.000 0.500 1
S1 S 0.500 0.500 0.500 1

# 4
# GGA-PBEsol TlSiB2S, optimized geometry
# - Raw formation energy: 1496 meV per atom
# - Volume: 16.9 A^3/atom
data_TlSiB2S
_chemical_formula_sum 'Tl1 Si1 B2 S1'
_symmetry_space_group_name_H-M 'P 4/m m m'
_symmetry_Int_Tables_number 123
_symmetry_space_group_name_Hall '-P 4 2'
_cell_length_a 3.891
_cell_length_b 3.891
_cell_length_c 5.572
_cell_angle_alpha 90.00
_cell_angle_beta 90.00
_cell_angle_gamma 90.00
loop_
_atom_site_label
_atom_site_type_symbol
_atom_site_fract_x
_atom_site_fract_y
_atom_site_fract_z
_atom_site_occupancy
Tl1 Tl 0.000 0.000 0.000 1
Si1 Si 0.500 0.500 0.000 1
B1 B 0.000 0.500 0.500 1
S1 S 0.000 0.000 0.500 1

# 5
# GGA-PBEsol SrB2S4, optimized geometry
# - ΔE to the lowest computed polymorph: 0.0 meV/atom
# - Raw formation energy: -1001 meV per atom
# - Volume: 18.4 A^3/atom
data_SrB2S4
_chemical_formula_sum 'Sr4 B8 S16'
_symmetry_space_group_name_H-M 'P 1 21/c 1'
_symmetry_Int_Tables_number 14
_cell_length_a 6.441
_cell_length_b 14.090
_cell_length_c 6.057
_cell_angle_alpha 90.00
_cell_angle_beta 110.14
_cell_angle_gamma 90.00
loop_
_symmetry_equiv_pos_as_xyz
'x,y,z'
'-x,-y,-z'
'-x,y+1/2,-z+1/2'
'x,-y+1/2,z+1/2'
loop_
_atom_site_label
_atom_site_type_symbol
_atom_site_fract_x
_atom_site_fract_y
_atom_site_fract_z
_atom_site_occupancy
Sr1 Sr 0.189 0.103 0.301 1
B1 B 0.270 0.727 0.823 1
B2 B 0.466 0.584 0.571 1
S1 S 0.083 0.739 0.008 1
S2 S 0.265 0.007 0.855 1
S3 S 0.369 0.599 0.833 1
S4 S 0.470 0.197 0.056 1

# 6
# GGA-PBEsol SrB2S4, optimized geometry
# - ΔE to the lowest computed polymorph: 64.8 meV/atom
# - Raw formation energy: -936 meV per atom
# - Volume: 21.8 A^3/atom
data_SrB2S4
_chemical_formula_sum 'Sr9 B18 S36'
_symmetry_space_group_name_H-M 'R -3'
_symmetry_Int_Tables_number 148
_symmetry_space_group_name_Hall '-R 3'
_cell_length_a 8.6043
_cell_length_b 8.6043
_cell_length_c 21.3866
_cell_angle_alpha 90.00
_cell_angle_beta 90.00
_cell_angle_gamma 120.00
loop_
_atom_site_label
_atom_site_type_symbol
_atom_site_fract_x
_atom_site_fract_y
_atom_site_fract_z
_atom_site_occupancy
Sr1 Sr 0.0000 0.0000 0.0000 1
Sr2 Sr 0.0000 0.0000 0.1941 1
B1 B 0.0334 0.8162 0.5809 1
S1 S 0.0355 0.8029 0.4151 1
S2 S 0.0478 0.7665 0.9067 1